Computed, not measured: a relaxed structure of Pm8Sb5Pb at the PBE level of DFT.

Computed properties:
Energy relative to the elements, uncorrected (eV per atom): -0.978
Calculated total energy (eV for the cell shown): -152.0

CIF file:
```
data_Pm8Sb5Pb
_chemical_formula_sum 'Pm16 Sb10 Pb2'
_cell_length_a 9.476
_cell_length_b 9.476
_cell_length_c 9.474
_cell_angle_alpha 90.00
_cell_angle_beta 90.00
_cell_angle_gamma 90.00
_space_group_name_H-M_alt 'I -4'
_space_group_IT_number 82
_space_group_name_Hall 'I -4'
loop_
_atom_site_label
_atom_site_type_symbol
_atom_site_fract_x
_atom_site_fract_y
_atom_site_fract_z
_atom_site_occupancy
Pm1 Pm 0.070 0.175 0.305 1
Pm2 Pm 0.072 0.320 0.944 1
Sb1 Sb 0.000 0.000 0.000 1
Sb2 Sb 0.126 0.251 0.624 1
Pb1 Pb 0.000 0.500 0.250 1
```

Computed, not measured: a relaxed structure of Pm8Sb2Pb at the PBE level of DFT.

Computed properties:
Energy relative to the elements, uncorrected (eV per atom): -0.452
Calculated total energy (eV for the cell shown): -109.9

CIF file:
```
data_Pm8Sb2Pb
_chemical_formula_sum 'Pm16 Sb4 Pb2'
_cell_length_a 19.590
_cell_length_b 4.929
_cell_length_c 7.524
_cell_angle_alpha 90.00
_cell_angle_beta 98.95
_cell_angle_gamma 90.00
_space_group_name_H-M_alt 'C 1 2/m 1'
_space_group_IT_number 12
_space_group_name_Hall '-C 2y'
loop_
_atom_site_label
_atom_site_type_symbol
_atom_site_fract_x
_atom_site_fract_y
_atom_site_fract_z
_atom_site_occupancy
Pm1 Pm 0.017 0.000 0.251 1
Pm2 Pm 0.097 0.500 0.994 1
Pm3 Pm 0.165 0.500 0.523 1
Pm4 Pm 0.217 0.000 0.853 1
Sb1 Sb 0.180 0.000 0.263 1
Pb1 Pb 0.000 0.500 0.500 1
```

Computed, not measured: a relaxed structure of Pm5Sb2Pb2 at the PBE level of DFT.

Computed properties:
Offset from the most stable computed form (eV per atom): 0.020
Energy relative to the elements, uncorrected (eV per atom): -0.820
Calculated total energy (eV for the cell shown): -187.2

CIF file:
```
data_Pm5Sb2Pb2
_chemical_formula_sum 'Pm20 Sb8 Pb8'
_cell_length_a 15.873
_cell_length_b 8.405
_cell_length_c 8.447
_cell_angle_alpha 90.00
_cell_angle_beta 90.00
_cell_angle_gamma 90.00
_space_group_name_H-M_alt 'C m c e'
_space_group_IT_number 64
_space_group_name_Hall '-C 2ac 2'
loop_
_atom_site_label
_atom_site_type_symbol
_atom_site_fract_x
_atom_site_fract_y
_atom_site_fract_z
_atom_site_occupancy
Pm1 Pm 0.000 0.000 0.000 1
Pm2 Pm 0.135 0.165 0.338 1
Sb1 Sb 0.000 0.139 0.640 1
Pb1 Pb 0.204 0.000 0.000 1
```

Computed, not measured: a relaxed structure of Pm2SbPb at the PBE level of DFT.

Computed properties:
Offset from the most stable computed form (eV per atom): 0.199
Energy relative to the elements, uncorrected (eV per atom): -0.676
Calculated total energy (eV for the cell shown): -20.0

CIF file:
```
data_Pm2SbPb
_chemical_formula_sum 'Pm2 Sb1 Pb1'
_cell_length_a 3.826
_cell_length_b 3.826
_cell_length_c 8.170
_cell_angle_alpha 90.00
_cell_angle_beta 90.00
_cell_angle_gamma 90.00
_space_group_name_H-M_alt 'P 4/m m m'
_space_group_IT_number 123
_space_group_name_Hall '-P 4 2'
loop_
_atom_site_label
_atom_site_type_symbol
_atom_site_fract_x
_atom_site_fract_y
_atom_site_fract_z
_atom_site_occupancy
Pm1 Pm 0.000 0.000 0.228 1
Sb1 Sb 0.500 0.500 0.000 1
Pb1 Pb 0.500 0.500 0.500 1
```

Computed, not measured: a relaxed structure of PmSbPb at the PBE level of DFT.

Computed properties:
Offset from the most stable computed form (eV per atom): 0.132
Energy relative to the elements, uncorrected (eV per atom): -0.344
Calculated total energy (eV for the cell shown): -13.6

CIF file:
```
data_PmSbPb
_chemical_formula_sum 'Pm1 Sb1 Pb1'
_cell_length_a 5.3215
_cell_length_b 5.3215
_cell_length_c 3.7023
_cell_angle_alpha 90.00
_cell_angle_beta 90.00
_cell_angle_gamma 120.00
_space_group_name_H-M_alt 'P 3 m 1'
_space_group_IT_number 156
_space_group_name_Hall 'P 3 -2"'
loop_
_atom_site_label
_atom_site_type_symbol
_atom_site_fract_x
_atom_site_fract_y
_atom_site_fract_z
_atom_site_occupancy
Pm1 Pm 0.0000 0.0000 0.0000 1
Sb1 Sb 0.3333 0.6667 0.5588 1
Pb1 Pb 0.6667 0.3333 0.4761 1
```

Computed, not measured: a relaxed structure of Pm3SbPb2 at the PBE level of DFT.

Computed properties:
Energy relative to the elements, uncorrected (eV per atom): -0.662
Calculated total energy (eV for the cell shown): -59.5

CIF file:
```
data_Pm3SbPb2
_chemical_formula_sum 'Pm6 Sb2 Pb4'
_cell_length_a 4.382
_cell_length_b 10.182
_cell_length_c 8.373
_cell_angle_alpha 90.00
_cell_angle_beta 90.00
_cell_angle_gamma 90.00
_space_group_name_H-M_alt 'P m c 21'
_space_group_IT_number 26
_space_group_name_Hall 'P 2c -2'
loop_
_atom_site_label
_atom_site_type_symbol
_atom_site_fract_x
_atom_site_fract_y
_atom_site_fract_z
_atom_site_occupancy
Pm1 Pm 0.000 0.082 0.000 1
Pm2 Pm 0.000 0.283 0.473 1
Pm3 Pm 0.500 0.416 0.127 1
Sb1 Sb 0.500 0.123 0.281 1
Pb1 Pb 0.000 0.422 0.848 1
Pb2 Pb 0.500 0.208 0.747 1
```

Computed, not measured: a relaxed structure of Pm6Sb3Pb at the PBE level of DFT.

Computed properties:
Energy relative to the elements, uncorrected (eV per atom): -0.705
Calculated total energy (eV for the cell shown): -206.5

CIF file:
```
data_Pm6Sb3Pb
_chemical_formula_sum 'Pm24 Sb12 Pb4'
_cell_length_a 11.409
_cell_length_b 15.170
_cell_length_c 7.874
_cell_angle_alpha 90.00
_cell_angle_beta 90.00
_cell_angle_gamma 90.00
_space_group_name_H-M_alt 'C m c 21'
_space_group_IT_number 36
_space_group_name_Hall 'C 2c -2'
loop_
_atom_site_label
_atom_site_type_symbol
_atom_site_fract_x
_atom_site_fract_y
_atom_site_fract_z
_atom_site_occupancy
Pm1 Pm 0.000 0.001 0.000 1
Pm2 Pm 0.000 0.248 0.130 1
Pm3 Pm 0.175 0.453 0.101 1
Pm4 Pm 0.187 0.274 0.511 1
Sb1 Sb 0.000 0.418 0.404 1
Sb2 Sb 0.182 0.102 0.271 1
Pb1 Pb 0.000 0.171 0.757 1
```

Computed, not measured: a relaxed structure of PmSbPb2 at the PBE level of DFT.

Computed properties:
Offset from the most stable computed form (eV per atom): 0.592
Energy relative to the elements, uncorrected (eV per atom): 0.177
Calculated total energy (eV for the cell shown): -46.7

CIF file:
```
data_PmSbPb2
_chemical_formula_sum 'Pm3 Sb3 Pb6'
_cell_length_a 3.6064
_cell_length_b 3.6064
_cell_length_c 34.7619
_cell_angle_alpha 90.00
_cell_angle_beta 90.00
_cell_angle_gamma 120.00
_space_group_name_H-M_alt 'R -3 m'
_space_group_IT_number 166
_space_group_name_Hall '-R 3 2"'
loop_
_atom_site_label
_atom_site_type_symbol
_atom_site_fract_x
_atom_site_fract_y
_atom_site_fract_z
_atom_site_occupancy
Pm1 Pm 0.0000 0.0000 0.0000 1
Sb1 Sb 0.0000 0.0000 0.5000 1
Pb1 Pb 0.0000 0.0000 0.0930 1
```

Computed, not measured: a relaxed structure of Pm3Sb2Pb at the PBE level of DFT.

Computed properties:
Energy relative to the elements, uncorrected (eV per atom): -0.925
Calculated total energy (eV for the cell shown): -127.0

CIF file:
```
data_Pm3Sb2Pb
_chemical_formula_sum 'Pm12 Sb8 Pb4'
_cell_length_a 7.897
_cell_length_b 13.532
_cell_length_c 7.716
_cell_angle_alpha 90.00
_cell_angle_beta 109.57
_cell_angle_gamma 90.00
_space_group_name_H-M_alt 'C 1 2/c 1'
_space_group_IT_number 15
_space_group_name_Hall '-C 2yc'
loop_
_atom_site_label
_atom_site_type_symbol
_atom_site_fract_x
_atom_site_fract_y
_atom_site_fract_z
_atom_site_occupancy
Pm1 Pm 0.241 0.086 0.001 1
Pm2 Pm 0.250 0.250 0.500 1
Sb1 Sb 0.000 0.084 0.250 1
Sb2 Sb 0.000 0.251 0.750 1
Pb1 Pb 0.000 0.418 0.250 1
```

Computed, not measured: a relaxed structure of Pm8Sb2Pb3 at the PBE level of DFT.

Computed properties:
Energy relative to the elements, uncorrected (eV per atom): -0.353
Calculated total energy (eV for the cell shown): -123.9

CIF file:
```
data_Pm8Sb2Pb3
_chemical_formula_sum 'Pm16 Sb4 Pb6'
_cell_length_a 16.278
_cell_length_b 8.597
_cell_length_c 7.818
_cell_angle_alpha 90.00
_cell_angle_beta 110.19
_cell_angle_gamma 90.00
_space_group_name_H-M_alt 'C 1 2/m 1'
_space_group_IT_number 12
_space_group_name_Hall '-C 2y'
loop_
_atom_site_label
_atom_site_type_symbol
_atom_site_fract_x
_atom_site_fract_y
_atom_site_fract_z
_atom_site_occupancy
Pm1 Pm 0.080 0.000 0.269 1
Pm2 Pm 0.110 0.500 0.430 1
Pm3 Pm 0.118 0.249 0.908 1
Sb1 Sb 0.247 0.500 0.841 1
Pb1 Pb 0.000 0.222 0.500 1
Pb2 Pb 0.000 0.500 0.000 1
```

Computed, not measured: a relaxed structure of Pm4SbPb2 at the PBE level of DFT.

Computed properties:
Energy relative to the elements, uncorrected (eV per atom): -0.736
Calculated total energy (eV for the cell shown): -142.8

CIF file:
```
data_Pm4SbPb2
_chemical_formula_sum 'Pm16 Sb4 Pb8'
_cell_length_a 9.581
_cell_length_b 9.581
_cell_length_c 9.560
_cell_angle_alpha 90.00
_cell_angle_beta 90.00
_cell_angle_gamma 90.00
_space_group_name_H-M_alt 'I -4 2 d'
_space_group_IT_number 122
_space_group_name_Hall 'I -4 2bw'
loop_
_atom_site_label
_atom_site_type_symbol
_atom_site_fract_x
_atom_site_fract_y
_atom_site_fract_z
_atom_site_occupancy
Pm1 Pm 0.070 0.682 0.447 1
Sb1 Sb 0.000 0.000 0.500 1
Pb1 Pb 0.125 0.750 0.125 1
```

Computed, not measured: a relaxed structure of Pm5Sb2Pb2 at the PBE level of DFT.

Computed properties:
Offset from the most stable computed form (eV per atom): 0.000
Energy relative to the elements, uncorrected (eV per atom): -0.841
Calculated total energy (eV for the cell shown): -187.9

CIF file:
```
data_Pm5Sb2Pb2
_chemical_formula_sum 'Pm20 Sb8 Pb8'
_cell_length_a 15.883
_cell_length_b 8.386
_cell_length_c 8.446
_cell_angle_alpha 90.00
_cell_angle_beta 90.00
_cell_angle_gamma 90.00
_space_group_name_H-M_alt 'C m c e'
_space_group_IT_number 64
_space_group_name_Hall '-C 2ac 2'
loop_
_atom_site_label
_atom_site_type_symbol
_atom_site_fract_x
_atom_site_fract_y
_atom_site_fract_z
_atom_site_occupancy
Pm1 Pm 0.000 0.000 0.000 1
Pm2 Pm 0.139 0.169 0.336 1
Sb1 Sb 0.202 0.000 0.000 1
Pb1 Pb 0.000 0.135 0.636 1
```